1.
Compound: Nd5Ho2Ir4
Source: the Alexandria database
Functional: GGA-PBE
Structure: optimized geometry

Computed properties:
Its space group is C2/m, No. 12. The total energy is -70.141 eV per cell. The magnetization is 0.000 μB per atom. The value obtained for the density is 9.614 g/cm³.

a = 11.9354 Å, b = 11.9354 Å, c = 7.1730 Å
α = 106.79°, β = 106.79°, γ = 18.77°
With the nearest neighbours (Å) after each atom.
Element x y z (fractional)
Nd (0.0000, 0.0000, 0.0000)  4 Ir 2.99
Nd (0.3696, 0.3696, 0.5918)  3 Ir 2.85-2.99
Nd (0.3797, 0.3797, 0.1236)  3 Ir 2.86-2.96
Nd (0.6203, 0.6203, 0.8764)  3 Ir 2.86-2.96
Nd (0.6304, 0.6304, 0.4082)  3 Ir 2.85-2.99
Ho (0.2360, 0.2360, 0.7731)  6 Nd 3.58-3.74, 4 Ho 3.68-3.89, 1 Ir 3.95
Ho (0.7640, 0.7640, 0.2269)  6 Nd 3.58-3.74, 4 Ho 3.68-3.89, 1 Ir 3.95
Ir (0.0609, 0.0609, 0.5695)  5 Ir 2.72-2.75, 4 Nd 2.96-2.99
Ir (0.4958, 0.4958, 0.6804)  5 Ir 2.65-2.74, 2 Nd 2.85-2.86
Ir (0.5042, 0.5042, 0.3196)  5 Ir 2.65-2.74, 2 Nd 2.85-2.86
Ir (0.9391, 0.9391, 0.4305)  5 Ir 2.72-2.75, 4 Nd 2.96-2.99



2.
Compound: NdHo2Ir2
Source: the Alexandria database
Functional: GGA-PBE
Structure: optimized geometry

Computed properties:
Its space group is P2_1/m, No. 11. The total energy is -70.352 eV per cell. The magnetization is 0.000 μB per atom. The value obtained for the density is 11.175 g/cm³.

a = 5.5085 Å, b = 4.4475 Å, c = 10.4934 Å
α = 90.00°, β = 97.04°, γ = 90.00°
With the nearest neighbours (Å) after each atom.
Element x y z (fractional)
Nd (0.0666, 0.2500, 0.2837)  5 Ir 2.95-3.01
Nd (0.9334, 0.7500, 0.7163)  5 Ir 2.95-3.01
Ho (0.2685, 0.7500, 0.0290)  4 Ir 2.81-2.99
Ho (0.3776, 0.2500, 0.6108)  5 Ir 2.79-2.96
Ho (0.6224, 0.7500, 0.3892)  5 Ir 2.79-2.96
Ho (0.7315, 0.2500, 0.9710)  4 Ir 2.81-2.99
Ir (0.1573, 0.7500, 0.4682)  4 Ho 2.79-2.96, 2 Ir 2.95, 3 Nd 2.95-3.01
Ir (0.2027, 0.2500, 0.8649)  5 Ho 2.81-2.99, 2 Nd 3.00
Ir (0.7973, 0.7500, 0.1351)  5 Ho 2.81-2.99, 2 Nd 3.00
Ir (0.8427, 0.2500, 0.5318)  4 Ho 2.79-2.96, 2 Ir 2.95, 3 Nd 2.95-3.01